No. 1
PBE TcAg2Cl, optimized geometry; raw formation energy = 2.18 eV per formula unit; crystal system = orthorhombic; space-group type = Immm; ρ = 7.5 g/cm3; energy relative to the lowest polymorph listed for this composition = 307 meV per atom
1.0
-1.424 2.100 6.464
1.424 -2.100 6.464
1.424 2.100 -6.464
Tc Ag Cl
1 2 1
Direct
0.000 0.000 0.000
0.196 0.696 0.500
0.804 0.304 0.500
0.500 0.500 0.000


No. 2
PBE RbCr3Hg, optimized geometry; ΔH_f (0 K) = 6.24 eV/f.u.; crystal system = cubic; space-group type = Pm-3m; ρ = 4.7 g/cm3; energy relative to the lowest polymorph listed for this composition = 0 meV per atom
1.0
5.384 0.000 0.000
0.000 5.384 0.000
0.000 0.000 5.384
Rb Cr Hg
1 3 1
Direct
0.000 0.000 0.000
0.000 0.500 0.500
0.500 0.000 0.500
0.500 0.500 0.000
0.500 0.500 0.500


No. 3
PBE TlFeCl5, optimized geometry; raw formation energy = -5.43 eV per formula unit; crystal system = triclinic; space-group type = P-1; ρ = 2.9 g/cm3
1.0
7.254 0.000 0.000
-1.152 7.759 0.000
-3.242 -3.428 8.781
Tl Fe Cl
2 2 10
Direct
0.000 0.000 0.000
0.000 0.500 0.500
0.449 0.158 0.778
0.551 0.842 0.222
0.131 0.230 0.253
0.211 0.761 0.115
0.333 0.880 0.603
0.345 0.184 0.969
0.366 0.364 0.679
0.634 0.636 0.321
0.655 0.816 0.031
0.667 0.120 0.397
0.789 0.239 0.885
0.869 0.770 0.747


No. 4
PBE DyErGeS, optimized geometry; raw formation energy = -5.77 eV per formula unit; crystal system = trigonal; space-group type = R3m; ρ = 7.8 g/cm3
1.0
2.011 1.161 6.604
-2.011 1.161 6.604
0.000 -2.322 6.604
Dy Er Ge S
1 1 1 1
Direct
0.000 0.000 0.000
0.499 0.499 0.499
0.750 0.750 0.750
0.249 0.249 0.249